Entry 1:
NaZn | OQMD via LeMat-Bulk | PBE | relaxed; uncorrected energy = -1.5 eV/f.u.; symmetry = No. 216
1.0
0.0000 3.3079 3.3079
3.3079 0.0000 3.3079
3.3079 3.3079 0.0000
Na Zn
1 1
Cartesian
0.0000 0.0000 0.0000 Na
1.6539 1.6539 1.6539 Zn

Entry 2:
NaZn | OQMD via LeMat-Bulk | PBE | relaxed; uncorrected energy = -2.4 eV/f.u.; symmetry = No. 26
1.0
4.7506 0.0000 0.0000
0.0000 10.3991 0.0000
0.0000 0.0000 5.0473
Na Zn
6 6
Cartesian
0.0000 0.9162 0.0000 Na
0.0000 2.7747 2.6909 Na
0.0000 7.6245 0.1672 Na
0.0000 9.4829 2.5237 Na
2.3753 2.7001 0.6666 Na
2.3753 7.6990 3.1903 Na
0.0000 4.6980 4.9687 Zn
0.0000 5.7011 2.4450 Zn
2.3753 0.6231 3.1256 Zn
2.3753 4.7620 3.5476 Zn
2.3753 5.6371 1.0239 Zn
2.3753 9.7760 0.6019 Zn

Entry 3:
NaZn3 | OQMD via LeMat-Bulk | PBE | relaxed; uncorrected energy = -5.3 eV/f.u.; symmetry = No. 194
1.0
5.2911 0.0000 0.0000
-2.6455 4.5822 0.0000
0.0000 0.0000 17.2990
Na Zn
6 18
Cartesian
0.0000 3.0548 0.5662 Na
0.0000 3.0548 4.3247 Na
0.0000 3.0548 8.0832 Na
2.6455 1.5274 9.2157 Na
2.6455 1.5274 12.9742 Na
2.6455 1.5274 16.7327 Na
0.0000 0.0000 0.0000 Zn
0.0000 0.0000 4.3247 Zn
0.0000 0.0000 8.6495 Zn
0.0000 0.0000 12.9742 Zn
0.0000 1.5308 10.8102 Zn
0.0000 1.5308 15.1382 Zn
-1.3198 3.8168 10.8102 Zn
-1.3198 3.8168 15.1382 Zn
0.0000 3.0548 12.9742 Zn
1.3257 0.7654 2.1607 Zn
1.3257 0.7654 6.4887 Zn
1.3198 3.8168 10.8102 Zn
1.3198 3.8168 15.1382 Zn
2.6455 1.5274 4.3247 Zn
3.9654 0.7654 2.1607 Zn
3.9654 0.7654 6.4887 Zn
2.6455 3.0514 2.1607 Zn
2.6455 3.0514 6.4887 Zn

Entry 4:
NaZn | OQMD via LeMat-Bulk | PBE | relaxed; uncorrected energy = -2.5 eV/f.u.; symmetry = No. 38
1.0
4.5958 0.0000 0.0000
0.0000 8.9023 2.5657
0.0000 -8.9023 2.5657
Na Zn
5 5
Cartesian
0.0000 0.0000 0.0000 Na
0.0000 -1.9805 2.6855 Na
0.0000 1.9805 2.6855 Na
2.2979 -6.9039 3.0873 Na
2.2979 6.9039 3.0873 Na
0.0000 -4.8805 2.2940 Zn
0.0000 4.8805 2.2940 Zn
2.2979 -4.0146 3.4538 Zn
2.2979 0.0000 3.0415 Zn
2.2979 4.0146 3.4538 Zn

Entry 5:
NaZn | OQMD via LeMat-Bulk | PBE | relaxed; uncorrected energy = -2.4 eV/f.u.; symmetry = No. 59
1.0
3.2601 0.0000 0.0000
0.0000 4.6832 0.0000
0.0000 0.0000 11.4687
Na Zn
4 4
Cartesian
0.8150 1.1708 0.9303 Na
0.8150 3.5124 2.8970 Na
2.4451 1.1708 8.5717 Na
2.4451 3.5124 10.5385 Na
0.8150 1.1708 6.0170 Zn
0.8150 3.5124 7.5342 Zn
2.4451 1.1708 3.9346 Zn
2.4451 3.5124 5.4518 Zn

Entry 6:
NaZn | OQMD via LeMat-Bulk | PBE | relaxed; uncorrected energy = -2.3 eV/f.u.; symmetry = No. 187
1.0
6.4199 0.0000 0.0000
-3.2100 5.5598 0.0000
0.0000 0.0000 4.7310
Na Zn
4 4
Cartesian
0.0000 0.0000 0.0000 Na
1.7029 0.9831 2.3655 Na
4.7171 0.9831 2.3655 Na
3.2100 3.5935 2.3655 Na
-1.3461 2.9294 0.0000 Zn
0.0000 3.7065 2.3655 Zn
1.3461 2.9294 0.0000 Zn
0.0000 5.2609 0.0000 Zn

Entry 7:
NaZn13 | OQMD via LeMat-Bulk | PBE | relaxed; uncorrected energy = -18.6 eV/f.u.; symmetry = No. 226
1.0
0.0000 6.1085 6.1085
6.1085 0.0000 6.1085
6.1085 6.1085 0.0000
Na Zn
2 26
Cartesian
3.0542 3.0542 3.0542 Na
9.1627 9.1627 9.1627 Na
0.0000 0.0000 0.0000 Zn
6.1085 4.6424 2.2075 Zn
10.0095 6.1085 4.6424 Zn
7.5746 2.2075 6.1085 Zn
7.5746 6.1085 3.9010 Zn
6.1085 3.9010 4.6424 Zn
8.3160 4.6424 6.1085 Zn
6.1085 7.5746 2.2075 Zn
4.6424 2.2075 6.1085 Zn
10.0095 6.1085 7.5746 Zn
4.6424 6.1085 3.9010 Zn
8.3160 7.5746 6.1085 Zn
6.1085 3.9010 7.5746 Zn
6.1085 6.1085 6.1085 Zn
6.1085 8.3160 4.6424 Zn
3.9010 4.6424 6.1085 Zn
7.5746 6.1085 8.3160 Zn
2.2075 6.1085 4.6424 Zn
7.5746 10.0095 6.1085 Zn
6.1085 4.6424 10.0095 Zn
3.9010 7.5746 6.1085 Zn
6.1085 8.3160 7.5746 Zn
4.6424 6.1085 8.3160 Zn
4.6424 10.0095 6.1085 Zn
2.2075 6.1085 7.5746 Zn
6.1085 7.5746 10.0095 Zn

Entry 8:
NaZn | OQMD via LeMat-Bulk | PBE | relaxed; uncorrected energy = -2.4 eV/f.u.; symmetry = No. 25
1.0
4.7158 0.0000 0.0000
0.0000 6.5997 0.0000
0.0000 0.0000 5.4703
Na Zn
4 4
Cartesian
0.0000 0.0000 0.0000 Na
0.0000 1.8612 2.9894 Na
0.0000 4.7385 2.9894 Na
2.3579 0.0000 2.1339 Na
0.0000 3.2998 0.2885 Zn
2.3579 1.9806 4.8487 Zn
2.3579 3.2998 1.7339 Zn
2.3579 4.6191 4.8487 Zn

Entry 9:
NaZn | OQMD via LeMat-Bulk | PBE | relaxed; uncorrected energy = -2.4 eV/f.u.; symmetry = No. 59
1.0
4.7794 0.0000 0.0000
0.0000 12.9700 0.0000
0.0000 0.0000 5.3722
Na Zn
8 8
Cartesian
1.1948 0.0255 1.0207 Na
1.1948 6.4595 1.0207 Na
1.1948 8.1997 3.4577 Na
1.1948 11.2554 3.4577 Na
3.5845 1.7146 1.9145 Na
3.5845 4.7704 1.9145 Na
3.5845 6.5105 4.3516 Na
3.5845 12.9445 4.3516 Na
1.1948 1.9260 3.7569 Zn
1.1948 3.2425 0.8143 Zn
1.1948 4.5590 3.7569 Zn
1.1948 9.7275 0.7287 Zn
3.5845 3.2425 4.6435 Zn
3.5845 8.4110 1.6153 Zn
3.5845 9.7275 4.5579 Zn
3.5845 11.0440 1.6153 Zn

Entry 10:
NaZn | OQMD via LeMat-Bulk | PBE | relaxed; uncorrected energy = -2.4 eV/f.u.; symmetry = No. 59
1.0
4.8979 0.0000 0.0000
0.0000 6.4606 0.0000
0.0000 0.0000 10.7219
Na Zn
8 8
Cartesian
1.2245 0.0160 1.0281 Na
1.2245 1.6152 3.8536 Na
1.2245 1.6152 8.6290 Na
1.2245 3.2143 1.0281 Na
3.6734 3.2463 9.6938 Na
3.6734 4.8455 2.0928 Na
3.6734 4.8455 6.8683 Na
3.6734 6.4447 9.6938 Na
1.2245 3.2415 6.3084 Zn
1.2245 4.8455 4.1928 Zn
1.2245 4.8455 8.6218 Zn
1.2245 6.4494 6.3084 Zn
3.6734 0.0112 4.4135 Zn
3.6734 1.6152 2.1001 Zn
3.6734 1.6152 6.5291 Zn
3.6734 3.2191 4.4135 Zn

Entry 11:
NaZn | OQMD via LeMat-Bulk | PBE | relaxed; uncorrected energy = -2.3 eV/f.u.; symmetry = No. 59
1.0
3.0736 0.0000 0.0000
0.0000 4.8841 0.0000
0.0000 0.0000 5.5387
Na Zn
2 2
Cartesian
0.7684 1.2210 0.5296 Na
2.3052 3.6631 5.0091 Na
0.7684 3.6631 2.3751 Zn
2.3052 1.2210 3.1635 Zn

Entry 12:
NaZn | OQMD via LeMat-Bulk | PBE | relaxed; uncorrected energy = -2.4 eV/f.u.; symmetry = No. 6
1.0
5.5402 0.0000 0.0000
0.0000 4.8460 0.0000
-2.7553 0.0000 7.8422
Na Zn
5 5
Cartesian
0.0000 0.0000 0.0000 Na
-1.9284 2.4230 5.9595 Na
-0.2881 0.0000 3.0309 Na
0.0107 0.0000 6.0622 Na
3.6012 2.4230 0.0906 Na
1.0359 2.4230 1.6520 Zn
1.0474 2.4230 4.4006 Zn
2.5111 0.0000 1.6815 Zn
2.5140 0.0000 4.3824 Zn
3.4678 2.4230 3.0235 Zn